## w
# Ni9Te (PBE-GGA, optimized geometry)
data_Ni9Te
_space_group_name_H-M_alt 'P 4/n m m'
_space_group_IT_number 129
_cell_length_a 2.7238
_cell_length_b 2.7238
_cell_length_c 41.8304
_cell_angle_alpha 90.00
_cell_angle_beta 90.00
_cell_angle_gamma 90.00
loop_
_space_group_symop_operation_xyz
'x,y,z'
'-x,-y,-z'
'-y+1/2,x,z'
'y+1/2,-x,-z'
'-x+1/2,-y+1/2,z'
'x+1/2,y+1/2,-z'
'y,-x+1/2,z'
'-y,x+1/2,-z'
'x+1/2,-y,-z'
'-x+1/2,y,z'
'-y,-x,-z'
'y,x,z'
'-x,y+1/2,-z'
'x,-y+1/2,z'
'y+1/2,x+1/2,-z'
'-y+1/2,-x+1/2,z'
loop_
_atom_site_label
_atom_site_type_symbol
_atom_site_fract_x
_atom_site_fract_y
_atom_site_fract_z
Ni1 Ni 0.2500 0.2500 0.0180
Ni2 Ni 0.2500 0.2500 0.0902
Ni3 Ni 0.2500 0.2500 0.1623
Ni4 Ni 0.2500 0.2500 0.2344
Ni5 Ni 0.2500 0.2500 0.3074
Ni6 Ni 0.2500 0.2500 0.7304
Ni7 Ni 0.2500 0.2500 0.8017
Ni8 Ni 0.2500 0.2500 0.8738
Ni9 Ni 0.2500 0.2500 0.9458
Te1 Te 0.2500 0.2500 0.6471
# Crystal system ... tetragonal

---

## x
# Ni9Te (PBE-GGA, optimized geometry)
data_Ni9Te
_space_group_name_H-M_alt 'P m m n'
_space_group_IT_number 59
_cell_length_a 2.6589
_cell_length_b 3.4336
_cell_length_c 36.6671
_cell_angle_alpha 90.00
_cell_angle_beta 90.00
_cell_angle_gamma 90.00
loop_
_space_group_symop_operation_xyz
'x,y,z'
'-x,-y,-z'
'-x+1/2,-y+1/2,z'
'x+1/2,y+1/2,-z'
'x+1/2,-y,-z'
'-x+1/2,y,z'
'-x,y+1/2,-z'
'x,-y+1/2,z'
loop_
_atom_site_label
_atom_site_type_symbol
_atom_site_fract_x
_atom_site_fract_y
_atom_site_fract_z
Ni1 Ni 0.2500 0.2500 0.0167
Ni2 Ni 0.2500 0.2500 0.0834
Ni3 Ni 0.2500 0.2500 0.1500
Ni4 Ni 0.2500 0.2500 0.2170
Ni5 Ni 0.2500 0.2500 0.2858
Ni6 Ni 0.2500 0.2500 0.7499
Ni7 Ni 0.2500 0.2500 0.8163
Ni8 Ni 0.2500 0.2500 0.8832
Ni9 Ni 0.2500 0.2500 0.9500
Te1 Te 0.2500 0.2500 0.6743
# Crystal system ... orthorhombic

---

Least stable of them? w.

---

## w
# TmTlNiTe3 (PBE-GGA, optimized geometry)
data_TmTlNiTe3
_space_group_name_H-M_alt 'P n m a'
_space_group_IT_number 62
_cell_length_a 9.8456
_cell_length_b 4.2671
_cell_length_c 16.1500
_cell_angle_alpha 90.00
_cell_angle_beta 90.00
_cell_angle_gamma 90.00
loop_
_space_group_symop_operation_xyz
'x,y,z'
'-x,-y,-z'
'-x+1/2,-y,z+1/2'
'x+1/2,y,-z+1/2'
'x+1/2,-y+1/2,-z+1/2'
'-x+1/2,y+1/2,z+1/2'
'-x,y+1/2,-z'
'x,-y+1/2,z'
loop_
_atom_site_label
_atom_site_type_symbol
_atom_site_fract_x
_atom_site_fract_y
_atom_site_fract_z
Tm1 Tm 0.1607 0.2500 0.0449
Tl1 Tl 0.1037 0.7500 0.3171
Ni1 Ni 0.1682 0.7500 0.8656
Te1 Te 0.0242 0.2500 0.8767
Te2 Te 0.1572 0.2500 0.4842
Te3 Te 0.1773 0.7500 0.7067
# Crystal system ... orthorhombic

---

## x
# TmTlNiTe3 (PBE-GGA, optimized geometry)
data_TmTlNiTe3
_space_group_name_H-M_alt 'P 1 21/m 1'
_space_group_IT_number 11
_cell_length_a 8.9948
_cell_length_b 4.1309
_cell_length_c 10.9506
_cell_angle_alpha 90.00
_cell_angle_beta 112.89
_cell_angle_gamma 90.00
loop_
_space_group_symop_operation_xyz
'x,y,z'
'-x,-y,-z'
'-x,y+1/2,-z'
'x,-y+1/2,z'
loop_
_atom_site_label
_atom_site_type_symbol
_atom_site_fract_x
_atom_site_fract_y
_atom_site_fract_z
Tm1 Tm 0.1905 0.2500 0.1504
Tl1 Tl 0.2284 0.7500 0.6960
Ni1 Ni 0.4075 0.7500 0.3895
Te1 Te 0.0594 0.2500 0.8534
Te2 Te 0.2973 0.2500 0.4580
Te3 Te 0.4449 0.7500 0.1716
# Crystal system ... monoclinic

---

## y
# TmTlNiTe3 (PBE-GGA, optimized geometry)
data_TmTlNiTe3
_space_group_name_H-M_alt 'P n m a'
_space_group_IT_number 62
_cell_length_a 16.2165
_cell_length_b 4.1538
_cell_length_c 11.1089
_cell_angle_alpha 90.00
_cell_angle_beta 90.00
_cell_angle_gamma 90.00
loop_
_space_group_symop_operation_xyz
'x,y,z'
'-x,-y,-z'
'-x+1/2,-y,z+1/2'
'x+1/2,y,-z+1/2'
'x+1/2,-y+1/2,-z+1/2'
'-x+1/2,y+1/2,z+1/2'
'-x,y+1/2,-z'
'x,-y+1/2,z'
loop_
_atom_site_label
_atom_site_type_symbol
_atom_site_fract_x
_atom_site_fract_y
_atom_site_fract_z
Tm1 Tm 0.0219 0.2500 0.1623
Tl1 Tl 0.2376 0.2500 0.4795
Ni1 Ni 0.0102 0.7500 0.3927
Te1 Te 0.0777 0.7500 0.5974
Te2 Te 0.1036 0.2500 0.9199
Te3 Te 0.1393 0.7500 0.2635
# Crystal system ... orthorhombic

---

## z
# TmTlNiTe3 (PBE-GGA, optimized geometry)
data_TmTlNiTe3
_space_group_name_H-M_alt 'P n m a'
_space_group_IT_number 62
_cell_length_a 12.5906
_cell_length_b 4.2217
_cell_length_c 12.6595
_cell_angle_alpha 90.00
_cell_angle_beta 90.00
_cell_angle_gamma 90.00
loop_
_space_group_symop_operation_xyz
'x,y,z'
'-x,-y,-z'
'-x+1/2,-y,z+1/2'
'x+1/2,y,-z+1/2'
'x+1/2,-y+1/2,-z+1/2'
'-x+1/2,y+1/2,z+1/2'
'-x,y+1/2,-z'
'x,-y+1/2,z'
loop_
_atom_site_label
_atom_site_type_symbol
_atom_site_fract_x
_atom_site_fract_y
_atom_site_fract_z
Tm1 Tm 0.0347 0.2500 0.1902
Tl1 Tl 0.1941 0.2500 0.4971
Ni1 Ni 0.2318 0.7500 0.3213
Te1 Te 0.0327 0.7500 0.3589
Te2 Te 0.0969 0.2500 0.9356
Te3 Te 0.2202 0.7500 0.7192
# Crystal system ... orthorhombic

---

Least stable of them? w.

---

## w
# YTlNiTe3 (PBE-GGA, optimized geometry)
data_YTlNiTe3
_space_group_name_H-M_alt 'P n m a'
_space_group_IT_number 62
_cell_length_a 9.0279
_cell_length_b 4.3901
_cell_length_c 17.2172
_cell_angle_alpha 90.00
_cell_angle_beta 90.00
_cell_angle_gamma 90.00
loop_
_space_group_symop_operation_xyz
'x,y,z'
'-x,-y,-z'
'-x+1/2,-y,z+1/2'
'x+1/2,y,-z+1/2'
'x+1/2,-y+1/2,-z+1/2'
'-x+1/2,y+1/2,z+1/2'
'-x,y+1/2,-z'
'x,-y+1/2,z'
loop_
_atom_site_label
_atom_site_type_symbol
_atom_site_fract_x
_atom_site_fract_y
_atom_site_fract_z
Y1 Y 0.2218 0.2500 0.0469
Tl1 Tl 0.0846 0.7500 0.2925
Ni1 Ni 0.1319 0.7500 0.8635
Te1 Te 0.0117 0.2500 0.9028
Te2 Te 0.1312 0.2500 0.4494
Te3 Te 0.1842 0.7500 0.7185
# Crystal system ... orthorhombic

---

## x
# YTlNiTe3 (PBE-GGA, optimized geometry)
data_YTlNiTe3
_space_group_name_H-M_alt 'C m c m'
_space_group_IT_number 63
_space_group_name_Hall '-C 2c 2'
_cell_length_a 4.1105
_cell_length_b 15.8415
_cell_length_c 11.0383
_cell_angle_alpha 90.00
_cell_angle_beta 90.00
_cell_angle_gamma 90.00
loop_
_atom_site_label
_atom_site_type_symbol
_atom_site_fract_x
_atom_site_fract_y
_atom_site_fract_z
Y1 Y 0.0000 0.0000 0.0000
Tl1 Tl 0.0000 0.2523 0.2500
Ni1 Ni 0.0000 0.4747 0.7500
Te1 Te 0.0000 0.0744 0.7500
Te2 Te 0.0000 0.3668 0.5764
# Crystal system ... orthorhombic

---

Least stable of them? w.